BeFeO2F | PBE+U | optimized geometry

calculated volume: 11.3 A^3/atom
magnetization: 4.88 μB per cell
total DFT energy (no corrections): -5.021 eV per atom

Structure (POSCAR):
```
BeFeO2F
1.0
-2.6594 -0.0925 2.8070
2.7816 -0.6199 2.6150
0.3798 3.7426 0.4832
Be Fe O F
1 1 2 1
Direct
0.5000 0.5000 0.5000 Be
0.0000 0.0000 0.0000 Fe
0.0000 0.5000 0.0000 O
0.5000 0.0000 0.0000 O
0.0000 0.0000 0.5000 F
```